No. 1
First-principles (PBE) data for a geometry-optimized ZrTlP structure, as listed in the Alexandria database.

Lattice parameters (Å, degrees): 6.627 6.627 6.627 90.00 90.00 90.00
Fractional positions:
Zr 0.000 0.000 0.000
Zr 0.000 0.500 0.500
Zr 0.500 0.000 0.500
Zr 0.500 0.500 0.000
Tl 0.250 0.250 0.750
Tl 0.250 0.750 0.250
Tl 0.750 0.250 0.250
Tl 0.750 0.750 0.750
P 0.250 0.250 0.250
P 0.250 0.750 0.750
P 0.750 0.250 0.750
P 0.750 0.750 0.250

Summary:
SG: No. 216
Raw total energy in eV/atom: -5.251

***

No. 2
First-principles (PBE) data for a geometry-optimized GePRuCl2 structure, as listed in the Alexandria database.

Lattice parameters (Å, degrees): 4.860 4.860 4.546 90.00 90.00 90.00
Fractional positions:
Ge 0.000 0.000 0.000
P 0.500 0.500 0.000
Ru 0.500 0.500 0.500
Cl 0.000 0.500 0.500
Cl 0.500 0.000 0.500

Summary:
SG: No. 123
ΔE_f (raw) in eV per atom: 0.338
Raw total energy in eV/atom: -4.262

***

Please write out number 1 again, unchanged.
First-principles (PBE) data for a geometry-optimized ZrTlP structure, as listed in the Alexandria database.

Lattice parameters (Å, degrees): 6.627 6.627 6.627 90.00 90.00 90.00
Fractional positions:
Zr 0.000 0.000 0.000
Zr 0.000 0.500 0.500
Zr 0.500 0.000 0.500
Zr 0.500 0.500 0.000
Tl 0.250 0.250 0.750
Tl 0.250 0.750 0.250
Tl 0.750 0.250 0.250
Tl 0.750 0.750 0.750
P 0.250 0.250 0.250
P 0.250 0.750 0.750
P 0.750 0.250 0.750
P 0.750 0.750 0.250

Summary:
SG: No. 216
Raw total energy in eV/atom: -5.251

***

Among the records above, which one has the highest raw total energy?
GePRuCl2

***

The highest raw total energy belongs to which entry?
GePRuCl2

***

What is the raw total energy in the first record?
-5.251 eV/atom